Computed, not measured: a crystal of Ti2BeFeW relaxed with PBEsol at the meta-GGA SCAN level of DFT.

Summary:
Total energy   -1.7611 Ry/atom

a b c (Å): 4.3102 4.3102 4.4705
angles (deg): 90.00 90.00 90.00
With the nearest neighbours (Å) after each atom.
Element x y z (fractional)
Be  0.5000  0.5000  0.5000  4 W 3.05, 8 Ti 3.10
W  0.0000  0.0000  0.5000  2 Fe 2.24
Ti  0.0000  0.5000  0.0000  2 Fe 2.16
Ti  0.5000  0.0000  0.0000  2 Fe 2.16
Fe  0.0000  0.0000  0.0000  4 Ti 2.16, 2 W 2.24


Computed, not measured: a crystal of BeTlFe2 relaxed with PBEsol at the meta-GGA SCAN level of DFT.

Summary:
Total energy   -2.0540 Ry/atom

a b c (Å): 2.9556 2.9556 6.0728
angles (deg): 90.00 90.00 90.00
With the nearest neighbours (Å) after each atom.
Element x y z (fractional)
Fe  0.0000  0.0000  0.9872  4 Be 2.32, 4 Fe 2.42
Fe  0.5000  0.5000  0.1891  1 Be 2.23, 4 Fe 2.42
Tl  0.0000  0.0000  0.5020  6 Fe 2.82-3.13, 4 Be 2.85, 4 Tl 2.96
Be  0.5000  0.5000  0.8217  5 Fe 2.23-2.32


Computed, not measured: a crystal of Be2FeW relaxed with PBEsol at the meta-GGA SCAN level of DFT.

Summary:
Total energy   -1.7533 Ry/atom

a b c (Å): 2.6021 2.6021 8.0189
angles (deg): 80.66 80.66 60.00
With the nearest neighbours (Å) after each atom.
Element x y z (fractional)
W  0.0000  0.0000  0.0000  6 Be 2.60, 6 W 2.60
Be  0.7565  0.7565  0.7304  3 Fe 2.36, 3 W 2.60, 6 Be 2.60
Be  0.2435  0.2435  0.2696  3 Fe 2.36, 3 W 2.60, 6 Be 2.60
Fe  0.5000  0.5000  0.5000  6 Be 2.36, 6 Fe 2.60


Computed, not measured: a crystal of BeFe2W relaxed with PBEsol at the meta-GGA SCAN level of DFT.

Summary:
Total energy   -2.0213 Ry/atom

a b c (Å): 2.8536 2.8536 5.3508
angles (deg): 90.00 90.00 90.00
With the nearest neighbours (Å) after each atom.
Element x y z (fractional)
Fe  0.0000  0.0000  0.2736  4 Be 2.35, 1 Fe 2.42, 4 W 2.49
Fe  0.0000  0.0000  0.7264  4 Be 2.35, 1 Fe 2.42, 4 W 2.49
W  0.5000  0.5000  0.0000  8 Fe 2.49, 2 Be 2.68
Be  0.5000  0.5000  0.5000  8 Fe 2.35


| no. | ΔH_f (0 K) (eV per atom) |
| --- | --- |
| 1 | 0.885 |
| 2 | 0.297 |
| 3 | 0.276 |
| 4 | 0.073 |